Record 1
{
  "formula": "TbNpSi",
  "functional": "PBE",
  "state": "relaxed",
  "e_tot_ev_per_atom": -7.567,
  "total_magnetization_mub_per_fu": 5.24,
  "sg": "No. 216",
  "lattice_angstrom": [[0.0000, 3.4068, 3.4068], [3.4068, 0.0000, 3.4068], [3.4068, 3.4068, 0.0000]],
  "species": ["Tb", "Np", "Si"],
  "fractional_positions": [[0.0000, 0.0000, 0.0000], [0.5000, 0.5000, 0.5000], [0.7500, 0.7500, 0.7500]]
}


Record 2
{
  "formula": "KRbPbAu",
  "functional": "PBE",
  "state": "relaxed",
  "polymorph_energy_mev_per_atom": 321.1,
  "sg": "No. 38",
  "lattice_angstrom": [[8.6758, 0.0000, 0.0000], [0.0000, 2.7036, 7.9888], [0.0000, -2.7036, 7.9888]],
  "species": ["K", "K", "Rb", "Rb", "Pb", "Pb", "Au", "Au"],
  "fractional_positions": [[0.0000, 0.0000, 0.0000], [0.0000, 0.2000, 0.2000], [0.3111, 0.7126, 0.7126], [0.6889, 0.7126, 0.7126], [0.3231, 0.4475, 0.4475], [0.6769, 0.4475, 0.4475], [0.0000, 0.3917, 0.3917], [0.0000, 0.8106, 0.8106]]
}


Record 3
{
  "formula": "PmFeB4",
  "functional": "PBE",
  "state": "relaxed",
  "polymorph_energy_mev_per_atom": 205.6,
  "total_magnetization_mub_per_fu": 2.41,
  "sg": "No. 71",
  "lattice_angstrom": [[-1.5730, 2.6797, 3.7085], [1.5730, -2.6797, 3.7085], [1.5730, 2.6797, -3.7085]],
  "species": ["Pm", "Fe", "B", "B", "B", "B"],
  "fractional_positions": [[0.0000, 0.0000, 0.0000], [0.5000, 0.5000, 0.0000], [0.0913, 0.7547, 0.3365], [0.4182, 0.7547, 0.6635], [0.5818, 0.2453, 0.3365], [0.9087, 0.2453, 0.6635]]
}


Record 4
{
  "formula": "Ni4Hg2N",
  "functional": "PBE",
  "state": "relaxed",
  "e_tot_ev_per_atom": -4.036,
  "total_magnetization_mub_per_fu": 1.24,
  "sg": "No. 164",
  "lattice_angstrom": [[2.9131, 0.0000, 0.0000], [-1.4566, 2.5228, 0.0000], [0.0000, 0.0000, 13.6034]],
  "species": ["Ni", "Ni", "Ni", "Ni", "Hg", "Hg", "N"],
  "fractional_positions": [[0.3333, 0.6667, 0.4263], [0.3333, 0.6667, 0.9364], [0.6667, 0.3333, 0.0636], [0.6667, 0.3333, 0.5737], [0.3333, 0.6667, 0.2271], [0.6667, 0.3333, 0.7729], [0.0000, 0.0000, 0.5000]]
}


Record 5
{
  "formula": "TbTmMgIn",
  "functional": "PBE",
  "state": "relaxed",
  "e_tot_ev_per_atom": -3.655,
  "total_magnetization_mub_per_fu": 0.01,
  "sg": "No. 216",
  "lattice_angstrom": [[0.0000, 3.7368, 3.7368], [3.7368, 0.0000, 3.7368], [3.7368, 3.7368, 0.0000]],
  "species": ["Tb", "Tm", "Mg", "In"],
  "fractional_positions": [[0.0000, 0.0000, 0.0000], [0.5000, 0.5000, 0.5000], [0.7500, 0.7500, 0.7500], [0.2500, 0.2500, 0.2500]]
}


Record 6
{
  "formula": "SmSnAuO3",
  "functional": "PBE",
  "state": "relaxed",
  "e_tot_ev_per_atom": -6.265,
  "total_magnetization_mub_per_fu": 0.00,
  "sg": "No. 63",
  "lattice_angstrom": [[1.8089, -6.5354, 0.0000], [1.8089, 6.5354, 0.0000], [0.0000, 0.0000, 8.3590]],
  "species": ["Sm", "Sm", "Sn", "Sn", "Au", "Au", "O", "O", "O", "O", "O", "O"],
  "fractional_positions": [[0.0000, 0.0000, 0.0000], [0.0000, 0.0000, 0.5000], [0.3193, 0.6807, 0.7500], [0.6807, 0.3193, 0.2500], [0.3585, 0.6415, 0.2500], [0.6415, 0.3585, 0.7500], [0.0837, 0.9163, 0.2500], [0.3846, 0.6154, 0.0028], [0.3846, 0.6154, 0.4972], [0.6154, 0.3846, 0.5028], [0.6154, 0.3846, 0.9972], [0.9163, 0.0837, 0.7500]]
}


Record 7
{
  "formula": "GdHoPbC",
  "functional": "PBE",
  "state": "relaxed",
  "e_tot_ev_per_atom": -6.016,
  "total_magnetization_mub_per_fu": 0.02,
  "sg": "No. 187",
  "lattice_angstrom": [[3.6488, 0.0000, 0.0000], [-1.8244, 3.1600, 0.0000], [0.0000, 0.0000, 16.2403]],
  "species": ["Gd", "Gd", "Ho", "Ho", "Pb", "Pb", "C", "C"],
  "fractional_positions": [[0.0000, 0.0000, 0.1674], [0.0000, 0.0000, 0.8326], [0.6667, 0.3333, 0.3329], [0.6667, 0.3333, 0.6671], [0.0000, 0.0000, 0.5000], [0.6667, 0.3333, 0.0000], [0.3333, 0.6667, 0.2520], [0.3333, 0.6667, 0.7480]]
}


Record 8
{
  "formula": "AsPt15",
  "functional": "PBE",
  "state": "relaxed",
  "polymorph_energy_mev_per_atom": 36.7,
  "total_magnetization_mub_per_fu": 0.00,
  "sg": "No. 11",
  "lattice_angstrom": [[5.5469, 0.0000, 0.0000], [0.0000, 2.8089, 0.0000], [-0.0060, 0.0000, 44.6191]],
  "species": ["As", "As", "Pt", "Pt", "Pt", "Pt", "Pt", "Pt", "Pt", "Pt", "Pt", "Pt", "Pt", "Pt", "Pt", "Pt", "Pt", "Pt", "Pt", "Pt", "Pt", "Pt", "Pt", "Pt", "Pt", "Pt", "Pt", "Pt", "Pt", "Pt", "Pt", "Pt"],
  "fractional_positions": [[0.1253, 0.2500, 0.1692], [0.8747, 0.7500, 0.8308], [0.1227, 0.2500, 0.7901], [0.1249, 0.2500, 0.2557], [0.1250, 0.2500, 0.3448], [0.1250, 0.2500, 0.4335], [0.1251, 0.2500, 0.5222], [0.1249, 0.2500, 0.6109], [0.1246, 0.2500, 0.6997], [0.3726, 0.7500, 0.2099], [0.3747, 0.7500, 0.3003], [0.3749, 0.7500, 0.3891], [0.3751, 0.7500, 0.4778], [0.3750, 0.7500, 0.5666], [0.3750, 0.7500, 0.6553], [0.3750, 0.7500, 0.7445], [0.3752, 0.7500, 0.8343], [0.6248, 0.2500, 0.1657], [0.6250, 0.2500, 0.2555], [0.6250, 0.2500, 0.3447], [0.6250, 0.2500, 0.4334], [0.6249, 0.2500, 0.5222], [0.6251, 0.2500, 0.6109], [0.6253, 0.2500, 0.6997], [0.6274, 0.2500, 0.7901], [0.8754, 0.7500, 0.3003], [0.8751, 0.7500, 0.3891], [0.8749, 0.7500, 0.4778], [0.8750, 0.7500, 0.5665], [0.8750, 0.7500, 0.6552], [0.8751, 0.7500, 0.7443], [0.8773, 0.7500, 0.2099]]
}


Record 9
{
  "formula": "GdInAu6",
  "functional": "PBE",
  "state": "relaxed",
  "e_tot_ev_per_atom": -3.764,
  "total_magnetization_mub_per_fu": 0.00,
  "sg": "No. 25",
  "lattice_angstrom": [[5.0685, 0.0000, 0.0000], [0.0000, 5.9848, 0.0000], [0.0000, 0.0000, 5.2052]],
  "species": ["Gd", "In", "Au", "Au", "Au", "Au", "Au", "Au"],
  "fractional_positions": [[0.0000, 0.0000, 0.0000], [0.5000, 0.5000, 0.6866], [0.0000, 0.2585, 0.5015], [0.0000, 0.5000, 0.0037], [0.0000, 0.7415, 0.5015], [0.5000, 0.0000, 0.6733], [0.5000, 0.2508, 0.1806], [0.5000, 0.7492, 0.1806]]
}


Record 10
{
  "formula": "SmGdNO",
  "functional": "PBE",
  "state": "relaxed",
  "polymorph_energy_mev_per_atom": 469.6,
  "total_magnetization_mub_per_fu": 0.75,
  "sg": "No. 129",
  "lattice_angstrom": [[4.2918, 0.0000, 0.0000], [0.0000, 4.2918, 0.0000], [0.0000, 0.0000, 8.2462]],
  "species": ["Sm", "Sm", "Gd", "Gd", "N", "N", "O", "O"],
  "fractional_positions": [[0.2500, 0.2500, 0.1119], [0.7500, 0.7500, 0.8881], [0.2500, 0.7500, 0.5000], [0.7500, 0.2500, 0.5000], [0.2500, 0.2500, 0.6205], [0.7500, 0.7500, 0.3795], [0.2500, 0.7500, 0.0000], [0.7500, 0.2500, 0.0000]]
}


Record 11
{
  "formula": "NaLuZn",
  "functional": "PBE",
  "state": "relaxed",
  "e_tot_ev_per_atom": -1.752,
  "total_magnetization_mub_per_fu": 0.22,
  "sg": "No. 216",
  "lattice_angstrom": [[0.0000, 3.4899, 3.4899], [3.4899, 0.0000, 3.4899], [3.4899, 3.4899, 0.0000]],
  "species": ["Na", "Lu", "Zn"],
  "fractional_positions": [[0.0000, 0.0000, 0.0000], [0.2500, 0.2500, 0.2500], [0.5000, 0.5000, 0.5000]]
}


Record 12
{
  "formula": "Nd4CICl4",
  "functional": "PBE",
  "state": "relaxed",
  "e_tot_ev_per_atom": -5.299,
  "total_magnetization_mub_per_fu": 0.01,
  "sg": "No. 12",
  "lattice_angstrom": [[8.8970, -1.9889, 0.0000], [8.8970, 1.9889, 0.0000], [-2.3799, 0.0000, 8.4630]],
  "species": ["Nd", "Nd", "Nd", "Nd", "C", "I", "Cl", "Cl", "Cl", "Cl"],
  "fractional_positions": [[0.0007, 0.0007, 0.3038], [0.3538, 0.3538, 0.4156], [0.6462, 0.6462, 0.5844], [0.9993, 0.9993, 0.6962], [0.5000, 0.5000, 0.5000], [0.5000, 0.5000, 0.0000], [0.1660, 0.1660, 0.8195], [0.1703, 0.1703, 0.3657], [0.8297, 0.8297, 0.6343], [0.8340, 0.8340, 0.1805]]
}


Please write out number 1 again, unchanged.
{
  "formula": "TbNpSi",
  "functional": "PBE",
  "state": "relaxed",
  "e_tot_ev_per_atom": -7.567,
  "total_magnetization_mub_per_fu": 5.24,
  "sg": "No. 216",
  "lattice_angstrom": [[0.0000, 3.4068, 3.4068], [3.4068, 0.0000, 3.4068], [3.4068, 3.4068, 0.0000]],
  "species": ["Tb", "Np", "Si"],
  "fractional_positions": [[0.0000, 0.0000, 0.0000], [0.5000, 0.5000, 0.5000], [0.7500, 0.7500, 0.7500]]
}